Material: AcV2HgO8
Method: DFT, PBE+U
State: optimized geometry

Cell lengths 6.0027, 6.0027, 6.7707 Å; angles 90.00, 90.00, 120.00 degrees
Closest atoms and distances in Å follow each position.
Fractional coordinates of all 12 atoms:
Ac  0.0000  0.0000  0.0000  6 O 2.50
V  0.3333  0.6667  0.3442  4 O 1.65-1.79
V  0.6667  0.3333  0.6558  4 O 1.65-1.79
Hg  0.0000  0.0000  0.5000  6 O 2.41
O  0.1705  0.3411  0.2599  1 V 1.79
O  0.1705  0.8295  0.2599  1 V 1.79
O  0.3333  0.6667  0.5881  1 V 1.65
O  0.3411  0.1705  0.7401  1 V 1.79
O  0.6589  0.8295  0.2599  1 V 1.79
O  0.6667  0.3333  0.4119  1 V 1.65
O  0.8295  0.1705  0.7401  1 V 1.79
O  0.8295  0.6589  0.7401  1 V 1.79

Output
M_tot	1.0	μB/f.u.
total DFT energy (no corrections)	-6.677	eV/atom
crystal system	trigonal
space-group type	P-3m1 (164)